No. 1
A geometry-optimized Er4ScSn2 structure. Source: the Alexandria database, functional PBE.

Calculated values
SG: I4/mmm, No. 139
Density, g cm⁻³: 7.42
DOS(E_F), states/eV/f.u.: 7.9
Calculated formation energy, meV per atom: 258
Magnetic moment, μB per atom: 0.000

Cell lengths 5.0953, 5.0953, 8.9593 Å; angles 106.52, 106.52, 90.00 degrees
Positions (direct):
Er 0.8174 0.8174 0.6348
Er 0.1826 0.1826 0.3652
Er 0.0000 0.5000 0.0000
Er 0.5000 0.0000 0.0000
Sc 0.0000 0.0000 0.0000
Sn 0.6315 0.6315 0.2630
Sn 0.3685 0.3685 0.7370


No. 2
A geometry-optimized Ac2SmNbO8 structure. Source: the Alexandria database, functional PBE.

Calculated values
SG: P2/m, No. 10
Density, g cm⁻³: 7.71
Raw formation energy, eV per atom: -2.7684
DOS(E_F), states/eV/f.u.: 0.0
Magnetic moment, μB per atom: 0.000

Cell lengths 4.1867, 5.6928, 7.4586 Å; angles 90.00, 90.00, 90.17 degrees
Positions (direct):
Ac 0.5000 0.5000 0.7508
Ac 0.5000 0.5000 0.2492
Sm 0.0000 0.0000 0.5000
Nb 0.0000 0.0000 0.0000
O 0.0015 0.7661 0.2069
O 0.5027 0.8689 0.9999
O 0.9985 0.2339 0.2069
O 0.9985 0.2339 0.7931
O 0.4973 0.1311 0.0001
O 0.0015 0.7661 0.7931
O 0.5008 0.7570 0.5000
O 0.4992 0.2430 0.5000


No. 3
A geometry-optimized MgMoW3 structure. Source: the Alexandria database, functional PBE.

Calculated values
SG: Pm-3m, No. 221
Density, g cm⁻³: 10.27
DOS(E_F), states/eV/f.u.: 11.8
Calculated formation energy, meV per atom: 1921
Magnetic moment, μB per atom: 0.000
E above lowest polymorph, eV per formula unit: 0.000

Cell lengths 4.7710, 4.7710, 4.7710 Å; angles 90.00, 90.00, 90.00 degrees
Positions (direct):
Mo 0.0000 0.0000 0.0000
Mg 0.5000 0.5000 0.5000
W 0.0000 0.5000 0.0000
W 0.0000 0.0000 0.5000
W 0.5000 0.0000 0.0000


No. 4
A geometry-optimized Hf2Au structure. Source: the Alexandria database, functional PBE.

Calculated values
SG: I4/mmm, No. 139
Density, g cm⁻³: 14.90
DOS(E_F), states/eV/f.u.: 1.1
Calculated formation energy, meV per atom: -439
Magnetic moment, μB per atom: 0.000

Cell lengths 6.2916, 6.2916, 6.2916 Å; angles 150.10, 150.10, 42.80 degrees
Positions (direct):
Hf 0.6625 0.6625 0.0000
Hf 0.3375 0.3375 0.0000
Au 0.0000 0.0000 0.0000


No. 5
A geometry-optimized LaPm2ThAs4 structure. Source: the Alexandria database, functional PBE.

Calculated values
SG: P2/m, No. 10
Density, g cm⁻³: 7.23
DOS(E_F), states/eV/f.u.: 1.6
Calculated formation energy, meV per atom: -1531
Magnetic moment, μB per atom: 0.000

Cell lengths 4.2771, 7.3860, 7.4119 Å; angles 70.54, 90.00, 90.00 degrees
Positions (direct):
La 0.5000 0.5000 0.0000
Pm 0.0000 0.0000 0.0000
Pm 0.5000 0.0000 0.5000
Th 0.0000 0.5000 0.5000
As 0.0000 0.7527 0.7445
As 0.0000 0.2473 0.2555
As 0.5000 0.7508 0.2536
As 0.5000 0.2492 0.7464


No. 6
A geometry-optimized Cs2Cu2O3 structure. Source: the Alexandria database, functional PBE.

Calculated values
SG: C2/m, No. 12
Density, g cm⁻³: 5.07
Raw formation energy, eV per atom: -0.8384
DOS(E_F), states/eV/f.u.: 2.8
Magnetic moment, μB per atom: 0.000

Cell lengths 4.0621, 6.7200, 6.8516 Å; angles 124.26, 107.24, 90.00 degrees
Positions (direct):
Cs 0.4085 0.1567 0.8171
Cs 0.5915 0.8433 0.1829
Cu 0.1602 0.3222 0.3205
Cu 0.8398 0.6778 0.6795
O 0.0000 0.0000 0.0000
O 0.3189 0.6358 0.6378
O 0.6811 0.3642 0.3622


No. 7
A geometry-optimized CeThSi2Ni2 structure. Source: the Alexandria database, functional PBE.

Calculated values
SG: P-3m1, No. 164
Density, g cm⁻³: 7.89
Raw formation energy, eV per atom: -0.7798
DOS(E_F), states/eV/f.u.: 3.4
Magnetic moment, μB per atom: 0.000

Cell lengths 4.1106, 4.1106, 7.8478 Å; angles 90.00, 90.00, 120.00 degrees
Positions (direct):
Ce 0.0000 0.0000 0.5000
Th 0.0000 0.0000 0.0000
Si 0.6667 0.3333 0.2562
Si 0.3333 0.6667 0.7438
Ni 0.6667 0.3333 0.7484
Ni 0.3333 0.6667 0.2516


No. 8
A geometry-optimized Pu2Ga6Ag structure. Source: the Alexandria database, functional PBE.

Calculated values
SG: P-3m1, No. 164
Density, g cm⁻³: 9.57
DOS(E_F), states/eV/f.u.: 18.7
Calculated formation energy, meV per atom: -293
Magnetic moment, μB per atom: 1.224

Cell lengths 5.6530, 5.9952, 5.9952 Å; angles 60.01, 89.99, 89.99 degrees
Site moments in Bohr magnetons follow the coordinates.
Positions (direct):
Pu 0.8355 0.6666 0.6666  5.28
Pu 0.1645 0.3334 0.3334  5.28
Ga 0.3267 0.3604 0.8198  -0.01
Ga 0.3268 0.8198 0.8198  -0.01
Ga 0.3267 0.8198 0.3604  -0.01
Ga 0.6733 0.6396 0.1802  -0.01
Ga 0.6732 0.1802 0.1802  -0.01
Ga 0.6733 0.1802 0.6396  -0.01
Ag 0.0000 0.0000 0.0000  0.00


What did the third record say?
A geometry-optimized MgMoW3 structure. Source: the Alexandria database, functional PBE.

Calculated values
SG: Pm-3m, No. 221
Density, g cm⁻³: 10.27
DOS(E_F), states/eV/f.u.: 11.8
Calculated formation energy, meV per atom: 1921
Magnetic moment, μB per atom: 0.000
E above lowest polymorph, eV per formula unit: 0.000

Cell lengths 4.7710, 4.7710, 4.7710 Å; angles 90.00, 90.00, 90.00 degrees
Positions (direct):
Mo 0.0000 0.0000 0.0000
Mg 0.5000 0.5000 0.5000
W 0.0000 0.5000 0.0000
W 0.0000 0.0000 0.5000
W 0.5000 0.0000 0.0000